Entry 1:
First-principles (PBE-GGA) data for a relaxed RbCdH2Br crystal, as listed in Alexandria via LeMat-Bulk.

Calculated values
E_tot, Ha/atom: -0.05715

Cell: 6.053 6.053 6.283 Å, 90.00 90.00 90.00°
Space group P4/mmm (No. 123)
One atom of each set of equivalent atoms:
Rb 0.000 0.000 0.000 (multiplicity 1)
Cd 0.500 0.500 0.000 (multiplicity 1)
H 0.000 0.500 0.500 (multiplicity 2)
Br 0.000 0.000 0.500 (multiplicity 1)

Entry 2:
First-principles (PBE-GGA) data for a relaxed CdRe2HBr crystal, as listed in Alexandria via LeMat-Bulk.

Calculated values
E_tot, Ha/atom: -0.12950

Cell: 4.587 4.587 5.990 Å, 90.00 90.00 90.00°
Space group P4/mmm (No. 123)
One atom of each set of equivalent atoms:
Cd 0.000 0.000 0.000 (multiplicity 1)
Re 0.000 0.500 0.500 (multiplicity 2)
H 0.500 0.500 0.000 (multiplicity 1)
Br 0.000 0.000 0.500 (multiplicity 1)